# 1
Below is a geometry-optimized BaTmMgTe3 structure, with properties calculated at the PBE-GGA level.

Calculated values
mass density	5.95	Mg/m³
final energy	-4.104	eV/atom
total magnetic moment	1.0	μB per cell

Unit cell a=8.126 b=8.126 c=11.391 alpha=90.00 beta=90.00 gamma=148.02
Site moments in Bohr magnetons follow the coordinates.
Fractional positions:
Ba (0.262, 0.738, 0.250)  0.03
Ba (0.738, 0.262, 0.750)  0.03
Mg (0.973, 0.027, 0.250)  0.01
Mg (0.027, 0.973, 0.750)  0.01
Te (0.867, 0.133, 0.053)  0.00
Te (0.583, 0.417, 0.250)  0.00
Te (0.867, 0.133, 0.447)  0.00
Te (0.133, 0.867, 0.553)  0.00
Te (0.417, 0.583, 0.750)  0.00
Te (0.133, 0.867, 0.947)  0.00
Tm (0.500, 0.500, 0.000)  0.18
Tm (0.500, 0.500, 0.500)  0.18



# 2
Below is a geometry-optimized BaMg2TlZn structure, with properties calculated at the PBE-GGA level.

Calculated values
mass density	5.29	Mg/m³
final energy	-1.935	eV/atom

Unit cell a=7.120 b=7.120 c=7.120 alpha=140.79 beta=140.79 gamma=56.66
Fractional positions:
Ba (0.004, 0.004, 0.000)
Mg (0.744, 0.244, 0.500)
Mg (0.244, 0.744, 0.500)
Tl (0.390, 0.390, 0.000)
Zn (0.619, 0.619, 0.000)



# 3
Below is a geometry-optimized Ba2MgZn structure, with properties calculated at the PBE-GGA level.

Calculated values
mass density	4.59	Mg/m³
final energy	-1.625	eV/atom

Unit cell a=5.714 b=5.714 c=5.714 alpha=60.00 beta=60.00 gamma=60.00
Fractional positions:
Ba (0.000, 0.000, 0.000)
Ba (0.250, 0.250, 0.250)
Mg (0.750, 0.750, 0.750)
Zn (0.500, 0.500, 0.500)



# 4
Below is a geometry-optimized BaMg2Zn2 structure, with properties calculated at the PBE-GGA level.

Calculated values
mass density	4.02	Mg/m³
final energy	-1.664	eV/atom

Unit cell a=4.608 b=4.608 c=6.968 alpha=109.31 beta=109.31 gamma=90.00
Fractional positions:
Ba (0.000, 0.000, 0.000)
Mg (0.750, 0.250, 0.500)
Mg (0.250, 0.750, 0.500)
Zn (0.610, 0.610, 0.220)
Zn (0.390, 0.390, 0.780)



# 5
Below is a geometry-optimized BaMg2Zn3 structure, with properties calculated at the PBE-GGA level.

Calculated values
mass density	4.39	Mg/m³
final energy	-1.637	eV/atom

Unit cell a=7.018 b=7.018 c=6.071 alpha=90.00 beta=90.00 gamma=75.34
Fractional positions:
Ba (0.677, 0.323, 0.250)
Ba (0.323, 0.677, 0.750)
Mg (0.202, 0.202, 0.000)
Mg (0.798, 0.798, 0.000)
Mg (0.202, 0.202, 0.500)
Mg (0.798, 0.798, 0.500)
Zn (0.112, 0.541, 0.250)
Zn (0.459, 0.888, 0.250)
Zn (0.092, 0.908, 0.250)
Zn (0.908, 0.092, 0.750)
Zn (0.541, 0.112, 0.750)
Zn (0.888, 0.459, 0.750)



# 6
Below is a geometry-optimized BaMo structure, with properties calculated at the PBE-GGA level.

Calculated values
E above lowest polymorph	0.0	kJ per mole of atoms
mass density	7.59	Mg/m³
total magnetic moment	0.0	μB per cell

Unit cell a=3.175 b=3.175 c=5.849 alpha=90.00 beta=90.00 gamma=120.00
Fractional positions:
Ba (0.667, 0.333, 0.750)
Mo (0.333, 0.667, 0.250)



# 7
Below is a geometry-optimized BaMo structure, with properties calculated at the PBE-GGA level.

Calculated values
E above lowest polymorph	30.5	kJ per mole of atoms
mass density	4.81	Mg/m³
total magnetic moment	4.1	μB per cell

Unit cell a=4.847 b=4.847 c=4.847 alpha=60.00 beta=60.00 gamma=60.00
Site moments in Bohr magnetons follow the coordinates.
Fractional positions:
Ba (0.000, 0.000, 0.000)  0.06
Mo (0.500, 0.500, 0.500)  3.37



# 8
Below is a geometry-optimized Ba2Mo structure, with properties calculated at the PBE-GGA level.

Calculated values
E above lowest polymorph	0.0	kJ per mole of atoms
mass density	4.91	Mg/m³
total magnetic moment	8.1	μB per cell

Unit cell a=7.077 b=7.077 c=7.077 alpha=60.00 beta=60.00 gamma=60.00
Site moments in Bohr magnetons follow the coordinates.
Fractional positions:
Ba (0.625, 0.625, 0.125)  -0.14
Ba (0.625, 0.125, 0.625)  -0.12
Ba (0.125, 0.625, 0.625)  -0.04
Ba (0.625, 0.625, 0.625)  -0.12
Mo (0.000, 0.000, 0.000)  3.47
Mo (0.250, 0.250, 0.250)  3.47



# 9
Below is a geometry-optimized Ba2Mo structure, with properties calculated at the PBE-GGA level.

Calculated values
E above lowest polymorph	3.3	kJ per mole of atoms
mass density	2.36	Mg/m³
total magnetic moment	2.4	μB per cell

Unit cell a=9.034 b=9.034 c=9.034 alpha=60.00 beta=60.00 gamma=60.00
Site moments in Bohr magnetons follow the coordinates.
Fractional positions:
Ba (0.375, 0.875, 0.375)  0.03
Ba (0.375, 0.375, 0.375)  0.02
Ba (0.875, 0.375, 0.375)  0.03
Ba (0.375, 0.375, 0.875)  0.02
Mo (0.250, 0.250, 0.250)  0.72
Mo (0.500, 0.500, 0.500)  0.72



# 10
Below is a geometry-optimized BaNb2Mo structure, with properties calculated at the PBE-GGA level.

Calculated values
mass density	8.26	Mg/m³
final energy	-7.117	eV/atom
total magnetic moment	0.1	μB per cell

Unit cell a=4.921 b=4.921 c=4.921 alpha=60.00 beta=60.00 gamma=60.00
Fractional positions:
Ba (0.750, 0.750, 0.750)
Mo (0.500, 0.500, 0.500)
Nb (0.000, 0.000, 0.000)
Nb (0.250, 0.250, 0.250)



# 11
Below is a geometry-optimized BaNiMo structure, with properties calculated at the PBE-GGA level.

Calculated values
E above lowest polymorph	0.0	kJ per mole of atoms
mass density	6.18	Mg/m³
total magnetic moment	4.0	μB per cell

Unit cell a=4.805 b=4.805 c=4.805 alpha=60.00 beta=60.00 gamma=60.00
Fractional positions:
Ba (0.250, 0.250, 0.250)
Mo (0.750, 0.750, 0.750)
Ni (0.000, 0.000, 0.000)



# 12
Below is a geometry-optimized Ba2NiMoS6 structure, with properties calculated at the PBE-GGA level.

Calculated values
mass density	4.78	Mg/m³
final energy	-5.419	eV/atom
total magnetic moment	0.0	μB per cell

Unit cell a=6.736 b=6.736 c=6.736 alpha=120.00 beta=120.00 gamma=90.00
Fractional positions:
Ba (0.750, 0.250, 0.500)
Ba (0.250, 0.750, 0.500)
Mo (0.000, 0.000, 0.000)
Ni (0.500, 0.500, 0.000)
S (0.253, 0.253, 0.000)
S (0.747, 0.253, 0.000)
S (0.253, 0.747, 0.000)
S (0.747, 0.747, 0.000)
S (0.747, 0.747, 0.495)
S (0.253, 0.253, 0.505)



# 13
Below is a geometry-optimized Ba2MoP2 structure, with properties calculated at the PBE-GGA level.

Calculated values
mass density	4.66	Mg/m³
final energy	-5.636	eV/atom
total magnetic moment	0.0	μB per cell

Unit cell a=8.538 b=9.898 c=7.536 alpha=90.00 beta=104.32 gamma=90.00
Fractional positions:
Ba (0.949, 0.336, 0.065)
Ba (0.475, 0.356, 0.235)
Ba (0.525, 0.856, 0.265)
Ba (0.051, 0.836, 0.435)
Ba (0.949, 0.164, 0.565)
Ba (0.475, 0.144, 0.735)
Ba (0.525, 0.644, 0.765)
Ba (0.051, 0.664, 0.935)
Mo (0.135, 0.031, 0.020)
Mo (0.865, 0.531, 0.480)
Mo (0.135, 0.469, 0.520)
Mo (0.865, 0.969, 0.980)
P (0.726, 0.103, 0.146)
P (0.759, 0.601, 0.176)
P (0.241, 0.101, 0.324)
P (0.274, 0.603, 0.354)
P (0.726, 0.397, 0.646)
P (0.759, 0.899, 0.676)
P (0.241, 0.399, 0.824)
P (0.274, 0.897, 0.854)



# 14
Below is a geometry-optimized Ba2SnMoP6 structure, with properties calculated at the PBE-GGA level.

Calculated values
mass density	4.31	Mg/m³
final energy	-5.470	eV/atom
total magnetic moment	0.0	μB per cell

Unit cell a=7.119 b=7.119 c=7.119 alpha=60.87 beta=60.87 gamma=60.87
Fractional positions:
Ba (0.250, 0.250, 0.250)
Ba (0.766, 0.766, 0.766)
Mo (0.464, 0.464, 0.464)
P (0.250, 0.768, 0.242)
P (0.768, 0.242, 0.250)
P (0.696, 0.693, 0.383)
P (0.383, 0.696, 0.693)
P (0.693, 0.383, 0.696)
P (0.242, 0.250, 0.768)
Sn (0.990, 0.990, 0.990)



# 15
Below is a geometry-optimized Ba2TaMoP6 structure, with properties calculated at the PBE-GGA level.

Calculated values
mass density	5.32	Mg/m³
final energy	-6.347	eV/atom
total magnetic moment	0.0	μB per cell

Unit cell a=6.880 b=6.880 c=6.880 alpha=120.02 beta=120.02 gamma=89.96
Fractional positions:
Ba (0.750, 0.250, 0.500)
Ba (0.250, 0.750, 0.500)
Mo (0.500, 0.500, 0.000)
P (0.252, 0.252, 0.000)
P (0.748, 0.252, 0.000)
P (0.252, 0.748, 0.000)
P (0.748, 0.748, 0.000)
P (0.748, 0.748, 0.495)
P (0.252, 0.252, 0.505)
Ta (0.000, 0.000, 0.000)



# 16
Below is a geometry-optimized Ba2TaMoP6 structure, with properties calculated at the PBE-GGA level.

Calculated values
mass density	5.32	Mg/m³
final energy	-6.346	eV/atom
total magnetic moment	0.0	μB per cell

Unit cell a=6.829 b=6.934 c=9.720 alpha=90.28 beta=90.08 gamma=90.00
Fractional positions:
Ba (0.950, 0.551, 0.250)
Ba (0.450, 0.050, 0.250)
Ba (0.450, 0.050, 0.750)
Ba (0.950, 0.550, 0.750)
Mo (0.950, 0.051, 0.000)
Mo (0.450, 0.549, 0.500)
P (0.197, 0.802, 0.000)
P (0.199, 0.297, 0.000)
P (0.950, 0.050, 0.248)
P (0.450, 0.550, 0.252)
P (0.200, 0.304, 0.500)
P (0.204, 0.799, 0.500)
P (0.696, 0.300, 0.500)
P (0.699, 0.795, 0.500)
P (0.450, 0.550, 0.748)
P (0.950, 0.050, 0.752)
P (0.702, 0.803, 0.000)
P (0.703, 0.299, 0.000)
Ta (0.450, 0.550, 0.000)
Ta (0.950, 0.049, 0.500)



# 17
Below is a geometry-optimized BaPaMo structure, with properties calculated at the PBE-GGA level.

Calculated values
E above lowest polymorph	0.0	kJ per mole of atoms
mass density	8.73	Mg/m³
total magnetic moment	0.0	μB per cell

Unit cell a=4.998 b=4.998 c=4.998 alpha=60.00 beta=60.00 gamma=60.00
Fractional positions:
Ba (0.250, 0.250, 0.250)
Mo (0.000, 0.000, 0.000)
Pa (0.750, 0.750, 0.750)



# 18
Below is a geometry-optimized BaMoPd structure, with properties calculated at the PBE-GGA level.

Calculated values
E above lowest polymorph	56.6	kJ per mole of atoms
mass density	6.53	Mg/m³
total magnetic moment	3.8	μB per cell

Unit cell a=4.963 b=4.963 c=4.963 alpha=60.00 beta=60.00 gamma=60.00
Fractional positions:
Ba (0.000, 0.000, 0.000)
Mo (0.250, 0.250, 0.250)
Pd (0.750, 0.750, 0.750)



# 19
Below is a geometry-optimized BaMoPd2 structure, with properties calculated at the PBE-GGA level.

Calculated values
mass density	9.29	Mg/m³
final energy	-5.120	eV/atom
total magnetic moment	1.2	μB per cell

Unit cell a=4.831 b=4.831 c=4.831 alpha=60.00 beta=60.00 gamma=60.00
Site moments in Bohr magnetons follow the coordinates.
Fractional positions:
Ba (0.750, 0.750, 0.750)  0.03
Mo (0.500, 0.500, 0.500)  1.05
Pd (0.000, 0.000, 0.000)  0.03
Pd (0.250, 0.250, 0.250)  0.06



# 20
Below is a geometry-optimized BaMoPd structure, with properties calculated at the PBE-GGA level.

Calculated values
E above lowest polymorph	0.0	kJ per mole of atoms
mass density	6.36	Mg/m³
total magnetic moment	4.1	μB per cell

Unit cell a=5.004 b=5.004 c=5.004 alpha=60.00 beta=60.00 gamma=60.00
Fractional positions:
Ba (0.250, 0.250, 0.250)
Mo (0.750, 0.750, 0.750)
Pd (0.000, 0.000, 0.000)



# 21
Below is a geometry-optimized Ba2MoPd structure, with properties calculated at the PBE-GGA level.

Calculated values
mass density	7.53	Mg/m³
final energy	-4.179	eV/atom
total magnetic moment	3.8	μB per cell

Unit cell a=5.300 b=5.300 c=5.300 alpha=60.00 beta=60.00 gamma=60.00
Site moments in Bohr magnetons follow the coordinates.
Fractional positions:
Ba (0.250, 0.250, 0.250)  0.00
Ba (0.500, 0.500, 0.500)  0.13
Mo (0.750, 0.750, 0.750)  2.90
Pd (0.000, 0.000, 0.000)  0.19



# 22
Below is a geometry-optimized BaPrMo structure, with properties calculated at the PBE-GGA level.

Calculated values
E above lowest polymorph	0.0	kJ per mole of atoms
mass density	6.10	Mg/m³
total magnetic moment	1.4	μB per cell

Unit cell a=5.241 b=5.241 c=5.241 alpha=60.00 beta=60.00 gamma=60.00
Fractional positions:
Ba (0.250, 0.250, 0.250)
Mo (0.000, 0.000, 0.000)
Pr (0.750, 0.750, 0.750)



# 23
Below is a geometry-optimized BaMoPt structure, with properties calculated at the PBE-GGA level.

Calculated values
E above lowest polymorph	0.0	kJ per mole of atoms
mass density	8.19	Mg/m³
total magnetic moment	4.1	μB per cell

Unit cell a=4.971 b=4.971 c=4.971 alpha=60.00 beta=60.00 gamma=60.00
Fractional positions:
Ba (0.250, 0.250, 0.250)
Mo (0.750, 0.750, 0.750)
Pt (0.000, 0.000, 0.000)



# 24
Below is a geometry-optimized Ba2Mo3Pt2 structure, with properties calculated at the PBE-GGA level.

Calculated values
mass density	8.78	Mg/m³
final energy	-6.803	eV/atom
total magnetic moment	0.6	μB per cell

Unit cell a=11.422 b=11.422 c=11.422 alpha=21.80 beta=21.80 gamma=21.80
Fractional positions:
Ba (0.205, 0.205, 0.205)
Ba (0.757, 0.757, 0.757)
Mo (0.329, 0.329, 0.329)
Mo (0.633, 0.633, 0.633)
Mo (0.945, 0.945, 0.945)
Pt (0.023, 0.023, 0.023)
Pt (0.482, 0.482, 0.482)



# 25
Below is a geometry-optimized RbBaMo structure, with properties calculated at the PBE-GGA level.

Calculated values
E above lowest polymorph	0.0	kJ per mole of atoms
mass density	3.37	Mg/m³
total magnetic moment	4.9	μB per cell

Unit cell a=6.058 b=6.058 c=6.058 alpha=60.00 beta=60.00 gamma=60.00
Fractional positions:
Ba (0.250, 0.250, 0.250)
Mo (0.000, 0.000, 0.000)
Rb (0.750, 0.750, 0.750)



# 26
Below is a geometry-optimized BaReMo structure, with properties calculated at the PBE-GGA level.

Calculated values
E above lowest polymorph	0.0	kJ per mole of atoms
mass density	9.56	Mg/m³
total magnetic moment	0.5	μB per cell

Unit cell a=4.687 b=4.687 c=4.687 alpha=60.00 beta=60.00 gamma=60.00
Fractional positions:
Ba (0.250, 0.250, 0.250)
Mo (0.750, 0.750, 0.750)
Re (0.000, 0.000, 0.000)